The following is a PBE+U calculation of a geometry-optimized Mg30AlCrO32 structure, from the Alexandria database.

Calculated values
E_tot = -6.04 eV/atom
density of states at the Fermi level = 3.4 states/eV/cell

a b c (Å): 8.544 8.544 8.518
angles (deg): 90.00 90.00 90.00
Fractional positions:
Mg 0.000 0.000 0.000
Mg 0.000 0.249 0.251
Mg 0.000 0.249 0.749
Mg 0.000 0.500 0.000
Mg 0.000 0.500 0.500
Mg 0.000 0.751 0.251
Mg 0.000 0.751 0.749
Mg 0.248 0.248 0.500
Mg 0.248 0.752 0.500
Mg 0.249 0.000 0.251
Mg 0.249 0.000 0.749
Mg 0.249 0.249 0.000
Mg 0.249 0.500 0.250
Mg 0.249 0.500 0.750
Mg 0.249 0.751 0.000
Mg 0.500 0.000 0.000
Mg 0.500 0.000 0.500
Mg 0.500 0.249 0.250
Mg 0.500 0.249 0.750
Mg 0.500 0.500 0.000
Mg 0.500 0.751 0.250
Mg 0.500 0.751 0.750
Mg 0.751 0.000 0.251
Mg 0.751 0.000 0.749
Mg 0.751 0.249 0.000
Mg 0.751 0.500 0.250
Mg 0.751 0.500 0.750
Mg 0.751 0.751 0.000
Mg 0.752 0.248 0.500
Mg 0.752 0.752 0.500
Al 0.500 0.500 0.500
Cr 0.000 0.000 0.500
O 0.000 0.000 0.238
O 0.000 0.000 0.762
O 0.000 0.253 0.000
O 0.000 0.269 0.500
O 0.000 0.500 0.249
O 0.000 0.500 0.751
O 0.000 0.731 0.500
O 0.000 0.747 0.000
O 0.251 0.251 0.250
O 0.251 0.251 0.750
O 0.251 0.749 0.250
O 0.251 0.749 0.750
O 0.253 0.000 0.000
O 0.254 0.500 0.000
O 0.269 0.000 0.500
O 0.269 0.500 0.500
O 0.500 0.000 0.249
O 0.500 0.000 0.751
O 0.500 0.254 0.000
O 0.500 0.269 0.500
O 0.500 0.500 0.264
O 0.500 0.500 0.736
O 0.500 0.731 0.500
O 0.500 0.746 0.000
O 0.731 0.000 0.500
O 0.731 0.500 0.500
O 0.746 0.500 0.000
O 0.747 0.000 0.000
O 0.749 0.251 0.250
O 0.749 0.251 0.750
O 0.749 0.749 0.250
O 0.749 0.749 0.750